1.
Entry from OQMD: an optimized crystal structure of Ag10Bi (PBE).

Output
- total energy (eV/atom) = -2.8893

The structure in POSCAR format:
```
Ag10Bi
1.0
4.588 -2.038 0.000
4.588 2.038 0.000
-0.020 0.000 29.843
Ag Bi
20 2
Direct
0.048 0.048 0.204 Ag
0.050 0.050 0.891 Ag
0.139 0.139 0.301 Ag
0.150 0.150 0.984 Ag
0.250 0.250 0.078 Ag
0.252 0.252 0.765 Ag
0.350 0.350 0.172 Ag
0.350 0.350 0.859 Ag
0.448 0.448 0.268 Ag
0.450 0.450 0.953 Ag
0.550 0.550 0.047 Ag
0.552 0.552 0.732 Ag
0.650 0.650 0.141 Ag
0.650 0.650 0.828 Ag
0.748 0.748 0.235 Ag
0.750 0.750 0.922 Ag
0.850 0.850 0.016 Ag
0.861 0.861 0.699 Ag
0.950 0.950 0.109 Ag
0.952 0.952 0.796 Ag
0.162 0.162 0.665 Bi
0.838 0.838 0.335 Bi
```

---

2.
Entry from OQMD: an optimized crystal structure of Ag15Bi (PBE).

Output
- energy relative to the lowest polymorph listed for this composition (meV per atom) = 9

The structure in POSCAR format:
```
Ag15Bi
1.0
5.030 0.000 0.000
0.000 32.706 0.000
-1.623 0.000 4.756
Ag Bi
30 2
Direct
0.000 0.022 0.250 Ag
0.000 0.068 0.750 Ag
0.000 0.112 0.250 Ag
0.000 0.158 0.750 Ag
0.000 0.203 0.250 Ag
0.000 0.247 0.750 Ag
0.000 0.295 0.250 Ag
0.000 0.338 0.750 Ag
0.000 0.662 0.250 Ag
0.000 0.705 0.750 Ag
0.000 0.753 0.250 Ag
0.000 0.797 0.750 Ag
0.000 0.842 0.250 Ag
0.000 0.888 0.750 Ag
0.000 0.932 0.250 Ag
0.000 0.978 0.750 Ag
0.500 0.023 0.750 Ag
0.500 0.068 0.250 Ag
0.500 0.113 0.750 Ag
0.500 0.158 0.250 Ag
0.500 0.203 0.750 Ag
0.500 0.249 0.250 Ag
0.500 0.295 0.750 Ag
0.500 0.705 0.250 Ag
0.500 0.751 0.750 Ag
0.500 0.797 0.250 Ag
0.500 0.842 0.750 Ag
0.500 0.887 0.250 Ag
0.500 0.932 0.750 Ag
0.500 0.977 0.250 Ag
0.500 0.346 0.250 Bi
0.500 0.654 0.750 Bi
```

---

3.
Entry from OQMD: an optimized crystal structure of AgBi (PBE).

Output
- total energy (eV/atom) = -3.2522

The structure in POSCAR format:
```
AgBi
1.0
5.930 0.000 0.000
0.000 5.930 0.000
0.000 0.000 5.930
Ag Bi
4 4
Direct
0.000 0.000 0.000 Ag
0.000 0.500 0.500 Ag
0.500 0.000 0.500 Ag
0.500 0.500 0.000 Ag
0.000 0.000 0.500 Bi
0.000 0.500 0.000 Bi
0.500 0.000 0.000 Bi
0.500 0.500 0.500 Bi
```

---

4.
Entry from OQMD: an optimized crystal structure of Ag15Bi (PBE).

Output
- energy relative to the lowest polymorph listed for this composition (meV per atom) = 3

The structure in POSCAR format:
```
Ag15Bi
1.0
4.141 0.000 0.000
0.011 8.234 0.000
0.009 0.034 42.013
Ag Bi
60 4
Direct
0.000 0.109 0.131 Ag
0.000 0.125 0.328 Ag
0.000 0.125 0.426 Ag
0.000 0.125 0.525 Ag
0.000 0.125 0.623 Ag
0.000 0.125 0.722 Ag
0.000 0.126 0.229 Ag
0.000 0.130 0.820 Ag
0.000 0.375 0.278 Ag
0.000 0.375 0.377 Ag
0.000 0.375 0.476 Ag
0.000 0.375 0.672 Ag
0.000 0.376 0.574 Ag
0.000 0.378 0.771 Ag
0.000 0.381 0.177 Ag
0.000 0.619 0.823 Ag
0.000 0.622 0.229 Ag
0.000 0.624 0.426 Ag
0.000 0.625 0.328 Ag
0.000 0.625 0.524 Ag
0.000 0.625 0.623 Ag
0.000 0.625 0.722 Ag
0.000 0.870 0.180 Ag
0.000 0.874 0.771 Ag
0.000 0.875 0.278 Ag
0.000 0.875 0.377 Ag
0.000 0.875 0.475 Ag
0.000 0.875 0.574 Ag
0.000 0.875 0.672 Ag
0.000 0.891 0.869 Ag
0.500 0.109 0.869 Ag
0.500 0.125 0.278 Ag
0.500 0.125 0.377 Ag
0.500 0.125 0.475 Ag
0.500 0.125 0.574 Ag
0.500 0.125 0.672 Ag
0.500 0.126 0.771 Ag
0.500 0.130 0.180 Ag
0.500 0.375 0.328 Ag
0.500 0.375 0.524 Ag
0.500 0.375 0.623 Ag
0.500 0.375 0.722 Ag
0.500 0.376 0.426 Ag
0.500 0.378 0.229 Ag
0.500 0.381 0.823 Ag
0.500 0.619 0.177 Ag
0.500 0.622 0.771 Ag
0.500 0.624 0.574 Ag
0.500 0.625 0.278 Ag
0.500 0.625 0.377 Ag
0.500 0.625 0.476 Ag
0.500 0.625 0.672 Ag
0.500 0.870 0.820 Ag
0.500 0.874 0.229 Ag
0.500 0.875 0.328 Ag
0.500 0.875 0.426 Ag
0.500 0.875 0.525 Ag
0.500 0.875 0.623 Ag
0.500 0.875 0.722 Ag
0.500 0.891 0.131 Ag
0.000 0.346 0.880 Bi
0.000 0.654 0.120 Bi
0.500 0.346 0.120 Bi
0.500 0.654 0.880 Bi
```

---

5.
Entry from OQMD: an optimized crystal structure of Ag15Bi (PBE).

Output
- energy relative to the lowest polymorph listed for this composition (meV per atom) = 15

The structure in POSCAR format:
```
Ag15Bi
1.0
5.815 0.000 0.000
0.000 2.959 0.000
-0.042 0.000 44.318
Ag Bi
30 2
Direct
0.120 0.250 0.200 Ag
0.125 0.250 0.385 Ag
0.125 0.250 0.477 Ag
0.125 0.250 0.569 Ag
0.125 0.250 0.661 Ag
0.125 0.250 0.753 Ag
0.126 0.250 0.293 Ag
0.371 0.750 0.800 Ag
0.374 0.750 0.155 Ag
0.375 0.750 0.246 Ag
0.375 0.750 0.339 Ag
0.375 0.750 0.431 Ag
0.375 0.750 0.523 Ag
0.375 0.750 0.615 Ag
0.376 0.750 0.707 Ag
0.624 0.250 0.293 Ag
0.625 0.250 0.385 Ag
0.625 0.250 0.477 Ag
0.625 0.250 0.569 Ag
0.625 0.250 0.661 Ag
0.625 0.250 0.754 Ag
0.626 0.250 0.845 Ag
0.629 0.250 0.200 Ag
0.874 0.750 0.707 Ag
0.875 0.750 0.247 Ag
0.875 0.750 0.339 Ag
0.875 0.750 0.431 Ag
0.875 0.750 0.523 Ag
0.875 0.750 0.615 Ag
0.880 0.750 0.800 Ag
0.127 0.250 0.856 Bi
0.873 0.750 0.144 Bi
```

---

6.
Entry from OQMD: an optimized crystal structure of Ag7Bi (PBE).

Output
- energy relative to the lowest polymorph listed for this composition (meV per atom) = 10

The structure in POSCAR format:
```
Ag7Bi
1.0
2.992 0.000 0.000
0.000 2.992 0.000
0.000 0.000 40.885
Ag Bi
14 2
Direct
0.250 0.250 0.025 Ag
0.250 0.250 0.123 Ag
0.250 0.250 0.221 Ag
0.250 0.250 0.319 Ag
0.250 0.250 0.731 Ag
0.250 0.250 0.828 Ag
0.250 0.250 0.926 Ag
0.750 0.750 0.074 Ag
0.750 0.750 0.172 Ag
0.750 0.750 0.269 Ag
0.750 0.750 0.681 Ag
0.750 0.750 0.779 Ag
0.750 0.750 0.877 Ag
0.750 0.750 0.975 Ag
0.250 0.250 0.621 Bi
0.750 0.750 0.379 Bi
```

---

7.
Entry from OQMD: an optimized crystal structure of AgBi2S3Br (PBE).

Output
- total energy (eV/atom) = -3.9181

The structure in POSCAR format:
```
AgBi2S3Br
1.0
7.904 0.000 0.000
0.000 4.045 0.000
-2.222 0.000 10.847
Ag Bi S Br
2 4 6 2
Direct
0.062 0.250 0.404 Ag
0.938 0.750 0.596 Ag
0.181 0.250 0.923 Bi
0.448 0.750 0.648 Bi
0.552 0.250 0.352 Bi
0.819 0.750 0.077 Bi
0.041 0.250 0.144 S
0.192 0.250 0.658 S
0.321 0.750 0.412 S
0.679 0.250 0.588 S
0.808 0.750 0.342 S
0.959 0.750 0.856 S
0.407 0.750 0.108 Br
0.593 0.250 0.892 Br
```

---

8.
Entry from OQMD: an optimized crystal structure of AgBiSeBr2 (PBE).

Output
- total energy (eV/atom) = -3.1985

The structure in POSCAR format:
```
AgBiSeBr2
1.0
2.100 -7.202 0.000
2.100 7.202 0.000
0.000 0.000 9.259
Ag Bi Se Br
2 2 2 4
Direct
0.000 0.000 0.000 Ag
0.000 0.000 0.500 Ag
0.289 0.711 0.750 Bi
0.711 0.289 0.250 Bi
0.080 0.920 0.250 Se
0.920 0.080 0.750 Se
0.346 0.654 0.063 Br
0.346 0.654 0.437 Br
0.654 0.346 0.563 Br
0.654 0.346 0.937 Br
```

---

What did the fifth record say?
Entry from OQMD: an optimized crystal structure of Ag15Bi (PBE).

Output
- energy relative to the lowest polymorph listed for this composition (meV per atom) = 15

The structure in POSCAR format:
```
Ag15Bi
1.0
5.815 0.000 0.000
0.000 2.959 0.000
-0.042 0.000 44.318
Ag Bi
30 2
Direct
0.120 0.250 0.200 Ag
0.125 0.250 0.385 Ag
0.125 0.250 0.477 Ag
0.125 0.250 0.569 Ag
0.125 0.250 0.661 Ag
0.125 0.250 0.753 Ag
0.126 0.250 0.293 Ag
0.371 0.750 0.800 Ag
0.374 0.750 0.155 Ag
0.375 0.750 0.246 Ag
0.375 0.750 0.339 Ag
0.375 0.750 0.431 Ag
0.375 0.750 0.523 Ag
0.375 0.750 0.615 Ag
0.376 0.750 0.707 Ag
0.624 0.250 0.293 Ag
0.625 0.250 0.385 Ag
0.625 0.250 0.477 Ag
0.625 0.250 0.569 Ag
0.625 0.250 0.661 Ag
0.625 0.250 0.754 Ag
0.626 0.250 0.845 Ag
0.629 0.250 0.200 Ag
0.874 0.750 0.707 Ag
0.875 0.750 0.247 Ag
0.875 0.750 0.339 Ag
0.875 0.750 0.431 Ag
0.875 0.750 0.523 Ag
0.875 0.750 0.615 Ag
0.880 0.750 0.800 Ag
0.127 0.250 0.856 Bi
0.873 0.750 0.144 Bi
```